[1]
Compound: TiGe2Cl
Source: Alexandria via LeMat-Bulk
Functional: GGA-PBE
Structure: optimized geometry

Geometry as extended XYZ:
```
8
Lattice="-1.8310 1.8310 11.1542 1.8310 -1.8310 11.1542 1.8310 1.8310 -11.1542" Properties=species:S:1:pos:R:3 pbc="T T T"
Ti 0.0000 0.0000 0.0000
Ti 0.0000 1.8310 5.5771
Ge 2.7465 0.8674 -2.7885
Ge 0.8674 0.9155 2.7885
Ge -0.9155 0.9636 8.3656
Ge 0.9636 0.9155 13.9427
Cl 1.8310 0.0000 5.5771
Cl 0.0000 0.0000 11.1542
```

Output
D(E_F): 11.6 states/eV per cell
Energy relative to the elements, uncorrected: 0.03 eV/atom
Energy: -0.173 Ha/atom
Offset from the most stable computed form: 0.000 eV per atom


[2]
Compound: TiGe2Cl
Source: Alexandria via LeMat-Bulk
Functional: GGA-PBE
Structure: optimized geometry

Geometry as extended XYZ:
```
4
Lattice="0.0000 3.3636 3.3636 3.3636 0.0000 3.3636 3.3636 3.3636 0.0000" Properties=species:S:1:pos:R:3 pbc="T T T"
Ti 0.0000 0.0000 0.0000
Ge 1.6818 1.6818 1.6818
Ge 5.0454 5.0454 5.0454
Cl 3.3636 3.3636 3.3636
```

Output
D(E_F): 6.1 states/eV per cell
Energy relative to the elements, uncorrected: 0.39 eV/atom
Energy: -0.160 Ha/atom
Offset from the most stable computed form: 0.364 eV per atom


[3]
Compound: Tl3GeCl5
Source: Alexandria via LeMat-Bulk
Functional: GGA-PBE
Structure: optimized geometry

Geometry as extended XYZ:
```
18
Lattice="-4.2226 4.2226 7.9386 4.2226 -4.2226 7.9386 4.2226 4.2226 -7.9386" Properties=species:S:1:pos:R:3 pbc="T T T"
Tl 5.6086 1.3861 0.0000
Tl 0.0000 0.0000 3.9693
Tl 1.3861 2.8365 0.0000
Tl 2.8365 1.3861 7.9386
Tl 0.0000 0.0000 11.9079
Tl -1.3861 2.8365 7.9386
Ge 4.2226 0.0000 3.9693
Ge 0.0000 4.2226 3.9693
Cl 0.0000 0.0000 0.0000
Cl 2.8230 1.3996 -2.3842
Cl 2.8230 -1.3996 5.5545
Cl 2.8230 1.3996 2.3842
Cl 2.8230 -1.3996 10.3228
Cl 0.0000 0.0000 7.9386
Cl 1.3996 5.6221 -2.3842
Cl 1.3996 2.8230 5.5545
Cl 1.3996 5.6221 2.3842
Cl 1.3996 2.8230 10.3228
```

Output
D(E_F): 0.0 states/eV per cell
Energy relative to the elements, uncorrected: -0.89 eV/atom
Energy: -0.118 Ha/atom